(1)
Compound: Cs3Pm2CdSe6
Source: the Alexandria database
Functional: GGA-PBE
Structure: relaxed

Its uncorrected formation energy is -1.3063 eV per atom. The total energy comes out at -4.130 eV per atom. The space-group type is C2/m, No. 12.

Unit cell a=7.507 b=7.507 c=8.772 alpha=98.19 beta=98.19 gamma=119.95
Sites, in units of the cell vectors:
Cs (0.000, 0.000, 0.000)
Cs (0.334, 0.666, 0.000)
Cs (0.666, 0.334, 0.000)
Pm (0.167, 0.833, 0.500)
Pm (0.833, 0.167, 0.500)
Cd (0.500, 0.500, 0.500)
Se (0.106, 0.437, 0.312)
Se (0.231, 0.231, 0.689)
Se (0.437, 0.106, 0.312)
Se (0.563, 0.894, 0.688)
Se (0.769, 0.769, 0.311)
Se (0.894, 0.563, 0.688)

(2)
Compound: Tb5NiAu4
Source: the Alexandria database
Functional: GGA-PBE
Structure: relaxed

The calculation puts the formation energy at -0.747 eV/atom. The total energy comes out at -4.951 eV per atom. The space-group type is P4/mmm, No. 123.

Unit cell a=3.561 b=3.561 c=18.060 alpha=90.00 beta=90.00 gamma=90.00
Sites, in units of the cell vectors:
Tb (0.000, 0.000, 0.000)
Tb (0.000, 0.000, 0.205)
Tb (0.000, 0.000, 0.409)
Tb (0.000, 0.000, 0.591)
Tb (0.000, 0.000, 0.795)
Ni (0.500, 0.500, 0.500)
Au (0.500, 0.500, 0.102)
Au (0.500, 0.500, 0.307)
Au (0.500, 0.500, 0.693)
Au (0.500, 0.500, 0.898)

(3)
Compound: Mg5AgHg8
Source: the Alexandria database
Functional: GGA-PBE
Structure: relaxed

The calculation puts the formation energy at -0.106 eV/atom. The total energy comes out at -1.051 eV per atom. The space-group type is I-4, No. 82.

Unit cell a=7.463 b=7.463 c=7.463 alpha=109.58 beta=109.58 gamma=109.26
Sites, in units of the cell vectors:
Mg (0.000, 0.000, 0.000)
Mg (0.232, 0.623, 0.149)
Mg (0.377, 0.526, 0.609)
Mg (0.474, 0.083, 0.851)
Mg (0.917, 0.768, 0.391)
Ag (0.750, 0.250, 0.500)
Hg (0.115, 0.700, 0.763)
Hg (0.144, 0.240, 0.758)
Hg (0.300, 0.063, 0.416)
Hg (0.483, 0.387, 0.242)
Hg (0.613, 0.856, 0.096)
Hg (0.648, 0.885, 0.584)
Hg (0.760, 0.517, 0.904)
Hg (0.937, 0.352, 0.237)

(4)
Compound: LiTc2NiMo
Source: the Alexandria database
Functional: GGA-PBE
Structure: relaxed

The calculation puts the formation energy at 1.380 eV/atom. The total energy comes out at -6.472 eV per atom. The space-group type is P4/mmm, No. 123.

Unit cell a=4.685 b=4.685 c=4.634 alpha=90.00 beta=90.00 gamma=90.00
Sites, in units of the cell vectors:
Li (0.000, 0.000, 0.000)
Tc (0.000, 0.500, 0.500)
Tc (0.500, 0.000, 0.500)
Ni (0.500, 0.500, 0.000)
Mo (0.500, 0.500, 0.500)

(5)
Compound: NpGaNi
Source: the Alexandria database
Functional: GGA-PBE
Structure: relaxed

The calculation puts the formation energy at -0.227 eV/atom. The total energy comes out at -7.476 eV per atom. The space-group type is Pnma, No. 62.

Unit cell a=7.397 b=3.448 c=7.652 alpha=90.00 beta=90.00 gamma=90.00
Sites, in units of the cell vectors:
Np (0.008, 0.250, 0.114)
Np (0.492, 0.750, 0.614)
Np (0.508, 0.250, 0.386)
Np (0.992, 0.750, 0.886)
Ga (0.133, 0.250, 0.566)
Ga (0.367, 0.750, 0.066)
Ga (0.633, 0.250, 0.934)
Ga (0.867, 0.750, 0.434)
Ni (0.197, 0.750, 0.343)
Ni (0.303, 0.250, 0.843)
Ni (0.697, 0.750, 0.157)
Ni (0.803, 0.250, 0.657)

(6)
Compound: Li2CaCo2
Source: the Alexandria database
Functional: GGA-PBE
Structure: relaxed

The calculation puts the formation energy at 0.382 eV/atom. The total energy comes out at -3.627 eV per atom. The value obtained for the energy above the most stable polymorph in this dataset is 34 meV per atom. The space-group type is P4/mbm, No. 127.

Unit cell a=7.506 b=7.506 c=2.822 alpha=90.00 beta=90.00 gamma=90.00
Sites, in units of the cell vectors:
Li (0.177, 0.323, 0.000)
Li (0.323, 0.823, 0.000)
Li (0.677, 0.177, 0.000)
Li (0.823, 0.677, 0.000)
Ca (0.000, 0.000, 0.500)
Ca (0.500, 0.500, 0.500)
Co (0.106, 0.606, 0.500)
Co (0.394, 0.106, 0.500)
Co (0.606, 0.894, 0.500)
Co (0.894, 0.394, 0.500)

(7)
Compound: PtBr2O
Source: the Alexandria database
Functional: GGA-PBE
Structure: relaxed

Its uncorrected formation energy is 0.7892 eV per atom. The total energy comes out at -2.797 eV per atom. The space-group type is R-3m, No. 166.

Unit cell a=8.658 b=8.658 c=8.658 alpha=21.81 beta=21.81 gamma=21.81
Sites, in units of the cell vectors:
Pt (0.000, 0.000, 0.000)
Br (0.094, 0.094, 0.094)
Br (0.906, 0.906, 0.906)
O (0.500, 0.500, 0.500)

(8)
Compound: BaGa2CoAg
Source: the Alexandria database
Functional: GGA-PBE
Structure: relaxed

The calculation puts the formation energy at 0.328 eV/atom. The total energy comes out at -3.259 eV per atom. The value obtained for the energy above the most stable polymorph in this dataset is 562 meV per atom. The space-group type is P4/mmm, No. 123.

Unit cell a=4.956 b=4.956 c=5.140 alpha=90.00 beta=90.00 gamma=90.00
Sites, in units of the cell vectors:
Ba (0.000, 0.000, 0.000)
Ga (0.000, 0.500, 0.500)
Ga (0.500, 0.000, 0.500)
Co (0.500, 0.500, 0.000)
Ag (0.500, 0.500, 0.500)

(9)
Compound: Ta2OsAu
Source: the Alexandria database
Functional: GGA-PBE
Structure: relaxed

The calculation puts the formation energy at -0.025 eV/atom. The total energy comes out at -9.578 eV per atom. The value obtained for the energy above the most stable polymorph in this dataset is 118 meV per atom. The space-group type is Cm, No. 8.

Unit cell a=4.944 b=4.944 c=4.872 alpha=100.59 beta=100.59 gamma=35.75
Sites, in units of the cell vectors:
Ta (0.000, 0.000, 0.000)
Ta (0.238, 0.238, 0.698)
Os (0.498, 0.498, 0.499)
Au (0.750, 0.750, 0.212)

(10)
Compound: Ca2LaC
Source: the Alexandria database
Functional: GGA-PBE
Structure: relaxed

The calculation puts the formation energy at 0.366 eV/atom. The total energy comes out at -4.172 eV per atom. The space-group type is I-42d, No. 122.

Unit cell a=7.329 b=7.329 c=7.329 alpha=96.44 beta=96.44 gamma=140.87
Sites, in units of the cell vectors:
Ca (0.375, 0.225, 0.350)
Ca (0.775, 0.125, 0.150)
Ca (0.875, 0.025, 0.650)
Ca (0.975, 0.625, 0.850)
La (0.250, 0.750, 0.500)
La (0.500, 0.500, 0.000)
C (0.000, 0.000, 0.000)
C (0.750, 0.250, 0.500)

(11)
Compound: Ti12NiSb6
Source: the Alexandria database
Functional: GGA-PBE
Structure: relaxed

Its uncorrected formation energy is -0.1081 eV per atom. The total energy comes out at -6.700 eV per atom. The space-group type is R-3, No. 148.

Unit cell a=7.475 b=7.475 c=7.475 alpha=101.49 beta=101.49 gamma=101.49
Sites, in units of the cell vectors:
Ti (0.013, 0.321, 0.047)
Ti (0.047, 0.013, 0.321)
Ti (0.218, 0.398, 0.510)
Ti (0.321, 0.047, 0.013)
Ti (0.398, 0.510, 0.218)
Ti (0.490, 0.782, 0.602)
Ti (0.510, 0.218, 0.398)
Ti (0.602, 0.490, 0.782)
Ti (0.679, 0.953, 0.987)
Ti (0.782, 0.602, 0.490)
Ti (0.953, 0.987, 0.679)
Ti (0.987, 0.679, 0.953)
Ni (0.000, 0.000, 0.000)
Sb (0.109, 0.664, 0.338)
Sb (0.336, 0.662, 0.891)
Sb (0.338, 0.109, 0.664)
Sb (0.662, 0.891, 0.336)
Sb (0.664, 0.338, 0.109)
Sb (0.891, 0.336, 0.662)

(12)
Compound: RbNp4S8
Source: the Alexandria database
Functional: GGA-PBE
Structure: relaxed

Its uncorrected formation energy is -1.3490 eV per atom. The total energy comes out at -7.945 eV per atom. The value obtained for the energy above the most stable polymorph in this dataset is 0 meV per atom. The space-group type is C2/m, No. 12.

Unit cell a=8.012 b=8.012 c=10.656 alpha=123.80 beta=123.80 gamma=60.05
Sites, in units of the cell vectors:
Rb (0.000, 0.000, 0.000)
Np (0.252, 0.748, 0.500)
Np (0.259, 0.259, 0.516)
Np (0.741, 0.741, 0.484)
Np (0.748, 0.252, 0.500)
S (0.006, 0.006, 0.336)
S (0.008, 0.489, 0.329)
S (0.489, 0.008, 0.329)
S (0.494, 0.494, 0.325)
S (0.506, 0.506, 0.675)
S (0.511, 0.992, 0.671)
S (0.992, 0.511, 0.671)
S (0.994, 0.994, 0.664)

(13)
Compound: MgSc2Ga
Source: the Alexandria database
Functional: GGA-PBE
Structure: relaxed

The calculation puts the formation energy at 0.227 eV/atom. The total energy comes out at -4.094 eV per atom. The space-group type is I-42d, No. 122.

Unit cell a=10.869 b=10.869 c=10.869 alpha=157.50 beta=157.50 gamma=32.03
Sites, in units of the cell vectors:
Mg (0.000, 0.000, 0.000)
Mg (0.750, 0.250, 0.500)
Sc (0.141, 0.625, 0.016)
Sc (0.375, 0.391, 0.516)
Sc (0.609, 0.125, 0.984)
Sc (0.875, 0.859, 0.484)
Ga (0.250, 0.750, 0.500)
Ga (0.500, 0.500, 0.000)

(14)
Compound: Li6TlSn2
Source: the Alexandria database
Functional: GGA-PBE
Structure: relaxed

The calculation puts the formation energy at -0.308 eV/atom. The total energy comes out at -2.736 eV per atom. The value obtained for the energy above the most stable polymorph in this dataset is 0 meV per atom. The space-group type is R-3m, No. 166.

Unit cell a=5.552 b=5.552 c=5.552 alpha=94.05 beta=94.05 gamma=94.05
Sites, in units of the cell vectors:
Li (0.000, 0.333, 0.667)
Li (0.000, 0.667, 0.333)
Li (0.333, 0.000, 0.667)
Li (0.333, 0.667, 0.000)
Li (0.667, 0.000, 0.333)
Li (0.667, 0.333, 0.000)
Tl (0.500, 0.500, 0.500)
Sn (0.167, 0.167, 0.167)
Sn (0.833, 0.833, 0.833)

(15)
Compound: GaSb2MoI
Source: the Alexandria database
Functional: GGA-PBE
Structure: relaxed

Its uncorrected formation energy is 1.1623 eV per atom. The total energy comes out at -3.568 eV per atom. The value obtained for the energy above the most stable polymorph in this dataset is 704 meV per atom. The space-group type is P4/mmm, No. 123.

Unit cell a=5.279 b=5.279 c=5.581 alpha=90.00 beta=90.00 gamma=90.00
Sites, in units of the cell vectors:
Ga (0.000, 0.000, 0.000)
Sb (0.000, 0.500, 0.000)
Sb (0.500, 0.000, 0.000)
Mo (0.500, 0.500, 0.500)
I (0.000, 0.000, 0.500)

(16)
Compound: ZrNb2Zn2
Source: the Alexandria database
Functional: GGA-PBE
Structure: relaxed

The calculation puts the formation energy at 0.300 eV/atom. The total energy comes out at -5.947 eV per atom. The value obtained for the energy above the most stable polymorph in this dataset is 301 meV per atom. The space-group type is I4/mmm, No. 139.

Unit cell a=6.744 b=6.744 c=6.744 alpha=145.70 beta=145.70 gamma=49.29
Sites, in units of the cell vectors:
Zr (0.000, 0.000, 0.000)
Nb (0.400, 0.400, 0.000)
Nb (0.600, 0.600, 0.000)
Zn (0.250, 0.750, 0.500)
Zn (0.750, 0.250, 0.500)

(17)
Compound: Nd5H12Ru2
Source: the Alexandria database
Functional: GGA-PBE
Structure: relaxed

The total energy comes out at -4.761 eV per atom. The space-group type is C2/m, No. 12.

Unit cell a=6.447 b=6.447 c=7.454 alpha=103.02 beta=103.02 gamma=54.03
Sites, in units of the cell vectors:
Nd (0.000, 0.000, 0.000)
Nd (0.300, 0.300, 0.658)
Nd (0.338, 0.338, 0.146)
Nd (0.662, 0.662, 0.854)
Nd (0.700, 0.700, 0.342)
H (0.011, 0.011, 0.349)
H (0.068, 0.590, 0.904)
H (0.116, 0.573, 0.417)
H (0.410, 0.932, 0.096)
H (0.427, 0.884, 0.583)
H (0.490, 0.490, 0.628)
H (0.510, 0.510, 0.372)
H (0.573, 0.116, 0.417)
H (0.590, 0.068, 0.904)
H (0.884, 0.427, 0.583)
H (0.932, 0.410, 0.096)
H (0.989, 0.989, 0.651)
Ru (0.240, 0.760, 0.500)
Ru (0.760, 0.240, 0.500)

(18)
Compound: Rb2S
Source: the Alexandria database
Functional: GGA-PBE
Structure: relaxed

Its uncorrected formation energy is -0.9756 eV per atom. The total energy comes out at -2.997 eV per atom. The space-group type is Pnma, No. 62.

Unit cell a=8.437 b=5.158 c=10.062 alpha=90.00 beta=90.00 gamma=90.00
Sites, in units of the cell vectors:
Rb (0.021, 0.250, 0.168)
Rb (0.145, 0.250, 0.576)
Rb (0.355, 0.750, 0.076)
Rb (0.479, 0.750, 0.668)
Rb (0.521, 0.250, 0.332)
Rb (0.645, 0.250, 0.924)
Rb (0.855, 0.750, 0.424)
Rb (0.979, 0.750, 0.832)
S (0.248, 0.250, 0.891)
S (0.252, 0.750, 0.391)
S (0.748, 0.250, 0.609)
S (0.752, 0.750, 0.109)

(19)
Compound: Ag2SnBi
Source: the Alexandria database
Functional: GGA-PBE
Structure: relaxed

The calculation puts the formation energy at 0.107 eV/atom. The total energy comes out at -3.290 eV per atom. The space-group type is R-3m, No. 166.

Unit cell a=9.584 b=9.584 c=9.584 alpha=20.63 beta=20.63 gamma=20.63
Sites, in units of the cell vectors:
Ag (0.246, 0.246, 0.246)
Ag (0.754, 0.754, 0.754)
Sn (0.500, 0.500, 0.500)
Bi (0.000, 0.000, 0.000)

(20)
Compound: Sc4Sb3As
Source: the Alexandria database
Functional: GGA-PBE
Structure: relaxed

Its uncorrected formation energy is -1.0273 eV per atom. The total energy comes out at -6.320 eV per atom. The space-group type is Cmmm, No. 65.

Unit cell a=7.105 b=7.105 c=4.072 alpha=90.00 beta=90.00 gamma=109.21
Sites, in units of the cell vectors:
Sc (0.235, 0.235, 0.500)
Sc (0.242, 0.758, 0.000)
Sc (0.758, 0.242, 0.000)
Sc (0.765, 0.765, 0.500)
Sb (0.000, 0.500, 0.500)
Sb (0.500, 0.000, 0.500)
Sb (0.500, 0.500, 0.000)
As (0.000, 0.000, 0.000)